Record 1
Density functional theory data (PBE) for In3CuTe after structural relaxation.

Cell and atoms, written as CIF:
```
data_In3CuTe
_cell_length_a 5.144
_cell_length_b 5.144
_cell_length_c 5.144
_cell_angle_alpha 90.00
_cell_angle_beta 90.00
_cell_angle_gamma 90.00
_space_group_name_H-M_alt 'P 1'
_space_group_IT_number 1
loop_
_space_group_symop_operation_xyz
'x,y,z'
loop_
_atom_site_label
_atom_site_type_symbol
_atom_site_fract_x
_atom_site_fract_y
_atom_site_fract_z
Te1 Te 0.500 0.500 0.500
In1 In 0.000 0.000 0.500
In2 In 0.000 0.500 0.000
In3 In 0.500 0.000 0.000
Cu1 Cu 0.000 0.000 0.000
```

Summary:
Energy relative to the elements, uncorrected (kJ/mol of formula units): -16
Final energy (eV per atom): -3.12

=====

Record 2
Density functional theory data (PBE) for PmEr3N4 after structural relaxation.

Cell and atoms, written as CIF:
```
data_PmEr3N4
_cell_length_a 4.921
_cell_length_b 4.921
_cell_length_c 4.921
_cell_angle_alpha 90.00
_cell_angle_beta 90.00
_cell_angle_gamma 90.00
_space_group_name_H-M_alt 'P 1'
_space_group_IT_number 1
loop_
_space_group_symop_operation_xyz
'x,y,z'
loop_
_atom_site_label
_atom_site_type_symbol
_atom_site_fract_x
_atom_site_fract_y
_atom_site_fract_z
N1 N 0.000 0.000 0.500
N2 N 0.500 0.500 0.500
N3 N 0.500 0.000 0.000
N4 N 0.000 0.500 0.000
Er1 Er 0.500 0.500 0.000
Er2 Er 0.500 0.000 0.500
Er3 Er 0.000 0.500 0.500
Pm1 Pm 0.000 0.000 0.000
```

Summary:
Energy relative to the elements, uncorrected (kJ/mol of formula units): -1282
Final energy (eV per atom): -8.13

=====

Number 1: calculated density 6.5 g/cm³, energy relative to the lowest polymorph listed for this composition 0.000 eV/atom. Number 2: calculated density 9.8 g/cm³, energy relative to the lowest polymorph listed for this composition 0.015 eV/atom.